DFT (PBE-GGA) results for crystalline Pm3SmTl3 at its relaxed geometry.

a = 9.5509 Å, b = 9.5509 Å, c = 9.5509 Å
α = 90.00°, β = 90.00°, γ = 90.00°
Last column: nearest neighbours and their distance in Å.
Fractional positions:
Pm: 0.0730 0.4270 0.5730  6 Tl 3.21-3.40
Pm: 0.1763 0.1763 0.1763  6 Tl 3.21-3.42
Pm: 0.1760 0.8240 0.3240  6 Tl 3.21-3.42
Pm: 0.3240 0.1760 0.8240  6 Tl 3.21-3.42
Pm: 0.3237 0.8237 0.6763  6 Tl 3.21-3.42
Pm: 0.4270 0.5730 0.0730  6 Tl 3.21-3.40
Pm: 0.5730 0.0730 0.4270  6 Tl 3.21-3.40
Pm: 0.6763 0.3237 0.8237  6 Tl 3.21-3.42
Pm: 0.6760 0.6760 0.6760  6 Tl 3.21-3.42
Pm: 0.8240 0.3240 0.1760  6 Tl 3.21-3.42
Pm: 0.8237 0.6763 0.3237  6 Tl 3.21-3.42
Pm: 0.9270 0.9270 0.9270  6 Tl 3.21-3.40
Sm: 0.0732 0.5732 0.9268  6 Tl 3.20-3.40
Sm: 0.4268 0.4268 0.4268  6 Tl 3.20-3.40
Sm: 0.5732 0.9268 0.0732  6 Tl 3.20-3.40
Sm: 0.9268 0.0732 0.5732  6 Tl 3.20-3.40
Tl: 0.0001 0.2505 0.8735  2 Sm 3.20-3.40, 6 Pm 3.21-3.42
Tl: 0.9999 0.7505 0.6265  2 Sm 3.20-3.40, 6 Pm 3.21-3.42
Tl: 0.1265 0.5001 0.2495  2 Sm 3.20-3.40, 6 Pm 3.21-3.42
Tl: 0.2495 0.1265 0.5001  2 Sm 3.20-3.40, 6 Pm 3.21-3.42
Tl: 0.2505 0.8735 0.0001  2 Sm 3.20-3.40, 6 Pm 3.21-3.42
Tl: 0.3735 0.4999 0.7495  2 Sm 3.20-3.40, 6 Pm 3.21-3.42
Tl: 0.5001 0.2495 0.1265  2 Sm 3.20-3.40, 6 Pm 3.21-3.42
Tl: 0.4999 0.7495 0.3735  2 Sm 3.20-3.40, 6 Pm 3.21-3.42
Tl: 0.6265 0.9999 0.7505  2 Sm 3.20-3.40, 6 Pm 3.21-3.42
Tl: 0.7495 0.3735 0.4999  2 Sm 3.20-3.40, 6 Pm 3.21-3.42
Tl: 0.7505 0.6265 0.9999  2 Sm 3.20-3.40, 6 Pm 3.21-3.42
Tl: 0.8735 0.0001 0.2505  2 Sm 3.20-3.40, 6 Pm 3.21-3.42

Output
Volume: 31.12 Å³ per atom
Raw total energy: -112.20 eV/cell
M_tot: 0.0 Bohr magnetons per cell
E above lowest polymorph: 0 meV per atom
Calculated formation energy: -283 meV/atom
ρ: 9.14 g cm⁻³



DFT (PBE-GGA) results for crystalline Pm5SmTl at its relaxed geometry.

a = 4.8049 Å, b = 4.8049 Å, c = 10.5646 Å
α = 90.00°, β = 90.00°, γ = 90.00°
Last column: nearest neighbours and their distance in Å.
Fractional positions:
Pm: 0.0000 0.0000 0.0000  4 Tl 3.40, 8 Pm 3.50
Pm: 0.0000 0.5000 0.2415  6 Pm 3.40-3.50, 2 Tl 3.50, 2 Sm 3.64
Pm: 0.0000 0.5000 0.7585  6 Pm 3.40-3.50, 2 Tl 3.50, 2 Sm 3.64
Pm: 0.5000 0.0000 0.2415  6 Pm 3.40-3.50, 2 Tl 3.50, 2 Sm 3.64
Pm: 0.5000 0.0000 0.7585  6 Pm 3.40-3.50, 2 Tl 3.50, 2 Sm 3.64
Sm: 0.5000 0.5000 0.5000  8 Pm 3.64
Tl: 0.5000 0.5000 0.0000  12 Pm 3.40-3.50

Output
Volume: 34.84 Å³ per atom
Raw total energy: -29.70 eV/cell
M_tot: 0.0 Bohr magnetons per cell
Calculated formation energy: 162 meV/atom
ρ: 7.35 g cm⁻³